A plane-wave DFT calculation with PBE was carried out for a relaxed BaCeCdGa crystal.

Lattice parameters (Å, degrees): 5.6022 5.6022 5.6022 60.00 60.00 60.00
Fractional coordinates of all 4 atoms:
Ga: 0.2500 0.2500 0.2500
Ce: 0.5000 0.5000 0.5000
Cd: 0.7500 0.7500 0.7500
Ba: 0.0000 0.0000 0.0000

Crystal system = cubic
Space group = F-43m (216)
Total DFT energy (no corrections) = -12.45 eV for the cell shown
D(E_F) = 11.2 states/eV/cell

A plane-wave DFT calculation with PBE was carried out for a relaxed Ba2CeCd3Hg12 crystal.

Lattice parameters (Å, degrees): 13.2223 13.2223 13.2223 31.68 31.68 31.68
Fractional coordinates of all 18 atoms:
Hg: 0.8770 0.4168 0.8770
Hg: 0.8404 0.4076 0.4076
Hg: 0.5924 0.5924 0.1596
Hg: 0.4076 0.4076 0.8404
Hg: 0.1230 0.5832 0.1230
Hg: 0.8770 0.8770 0.4168
Hg: 0.1596 0.5924 0.5924
Hg: 0.4076 0.8404 0.4076
Hg: 0.4168 0.8770 0.8770
Hg: 0.5832 0.1230 0.1230
Hg: 0.5924 0.1596 0.5924
Hg: 0.1230 0.1230 0.5832
Ba: 0.3646 0.3646 0.3646
Ba: 0.6354 0.6354 0.6354
Cd: 0.0000 0.0000 0.5000
Cd: 0.0000 0.5000 0.0000
Cd: 0.5000 0.0000 0.0000
Ce: 0.0000 0.0000 0.0000

Crystal system = trigonal
Space group = R-3m (166)
Total DFT energy (no corrections) = -18.60 eV for the cell shown
D(E_F) = 16.5 states/eV/cell

A plane-wave DFT calculation with PBE was carried out for a relaxed BaCeCdHg crystal.

Lattice parameters (Å, degrees): 5.7073 5.7073 5.7073 60.00 60.00 60.00
Fractional coordinates of all 4 atoms:
Ba: 0.5000 0.5000 0.5000
Cd: 0.7500 0.7500 0.7500
Ce: 0.0000 0.0000 0.0000
Hg: 0.2500 0.2500 0.2500

Crystal system = cubic
Space group = F-43m (216)
Total DFT energy (no corrections) = -9.87 eV for the cell shown
D(E_F) = 10.7 states/eV/cell

A plane-wave DFT calculation with PBE was carried out for a relaxed BaCeMgCd crystal.

Lattice parameters (Å, degrees): 5.7618 5.7618 5.7618 60.00 60.00 60.00
Fractional coordinates of all 4 atoms:
Cd: 0.7500 0.7500 0.7500
Mg: 0.2500 0.2500 0.2500
Ce: 0.5000 0.5000 0.5000
Ba: 0.0000 0.0000 0.0000

Crystal system = cubic
Space group = F-43m (216)
Total DFT energy (no corrections) = -10.30 eV for the cell shown
D(E_F) = 9.2 states/eV/cell

Which formation energy belongs to each record? In order, -0.16 -0.14 -0.20 0.02 eV/atom.
Which volume belongs to each record? In order, 124 566 131 135 Å³/cell.
Which total magnetization belongs to each record? In order, 1.235 1.507 1.132 1.238 μB per formula unit.